Density functional theory data (PBE+U) for a geometry-optimized TeMoO3 structure.

Its space group is Pm-3m, No. 221. The value obtained for the density of states at the Fermi level is 3.3 states/eV/f.u. Its density is 6.40 g/cm3. Its total energy is -5.324 eV/atom. The magnetic moment comes out at 0.8992 μB/atom.

abc: 4.129 4.129 4.129
angles: 90.00 90.00 90.00
Fractional coordinates of all 5 atoms:
Te 0.000 0.000 0.000
O 0.500 0.000 0.000
O 0.000 0.500 0.000
O 0.000 0.000 0.500
Mo 0.500 0.500 0.500